1.
Ac2CePu after structural relaxation, computed with GGA-PBE.

Cell: 3.6875 3.6875 38.6523 Å, 90.00 90.00 120.00°
With the nearest neighbours (Å) after each atom.
Space group R-3m (No. 166, hexagonal axes)
Unique sites:
Ac: 0.0000 0.0000 0.0893 (multiplicity 6)  1 Pu 3.45, 3 Ce 3.67, 6 Ac 3.69
Ce: 0.0000 0.0000 0.5000 (multiplicity 3)  6 Ac 3.67, 6 Ce 3.69
Pu: 0.0000 0.0000 0.0000 (multiplicity 3)  2 Ac 3.45, 6 Pu 3.69

Summary:
**E_form**: 393 meV/atom
**Offset from the most stable computed form**: 165 meV/atom



2.
AcCePu2Sb4 after structural relaxation, computed with GGA-PBE.

Cell: 7.8447 4.5582 7.9033 Å, 90.00 109.57 90.00°
With the nearest neighbours (Å) after each atom.
Space group P2/m (No. 10)
Unique sites:
Ac: 0.0000 0.0000 0.0000 (multiplicity 1)  6 Sb 3.32
Ce: 0.0000 0.5000 0.5000 (multiplicity 1)  6 Sb 3.23
Pu: 0.5000 0.0000 0.5000 (multiplicity 1)  6 Sb 3.11
Pu: 0.5000 0.5000 0.0000 (multiplicity 1)  6 Sb 3.21
Sb: 0.2596 0.0000 0.7437 (multiplicity 2)  3 Pu 3.11-3.21, 2 Ce 3.23, 1 Ac 3.32
Sb: 0.2671 0.5000 0.2654 (multiplicity 2)  3 Pu 3.11-3.21, 1 Ce 3.23, 2 Ac 3.32

Summary:
**Formation energy without anion corrections**: -650 kJ/mol of formula units



3.
Ac2CePuSb4 after structural relaxation, computed with GGA-PBE.

Cell: 8.0271 4.6415 8.0345 Å, 90.00 109.53 90.00°
With the nearest neighbours (Å) after each atom.
Space group P2/m (No. 10)
Unique sites:
Ac: 0.0000 0.0000 0.0000 (multiplicity 1)  6 Sb 3.37
Ac: 0.0000 0.5000 0.5000 (multiplicity 1)  6 Sb 3.37-3.38
Ce: 0.5000 0.0000 0.5000 (multiplicity 1)  6 Sb 3.19-3.20
Pu: 0.5000 0.5000 0.0000 (multiplicity 1)  6 Sb 3.19
Sb: 0.2702 0.5000 0.2564 (multiplicity 2)  1 Pu 3.19, 2 Ce 3.19, 3 Ac 3.37
Sb: 0.2712 0.0000 0.7580 (multiplicity 2)  2 Pu 3.19, 1 Ce 3.20, 3 Ac 3.37-3.38

Summary:
**Formation energy without anion corrections**: -772 kJ/mol of formula units



4.
Ac3Ce2PuSe6 after structural relaxation, computed with GGA-PBE.

Cell: 7.4911 12.9948 7.5218 Å, 90.00 109.44 90.00°
With the nearest neighbours (Å) after each atom.
Space group C2/m (No. 12)
Unique sites:
Ac: 0.0000 0.0000 0.0000 (multiplicity 2)  6 Se 3.14-3.15
Ac: 0.0000 0.3325 0.0000 (multiplicity 4)  6 Se 3.13-3.15
Ce: 0.0000 0.1664 0.5000 (multiplicity 4)  6 Se 3.00
Pu: 0.0000 0.5000 0.5000 (multiplicity 2)  6 Se 2.97-2.98
Se: 0.2424 0.3346 0.7314 (multiplicity 8)  1 Pu 2.97, 2 Ce 3.00, 3 Ac 3.13-3.15
Se: 0.2469 0.0000 0.7325 (multiplicity 4)  1 Pu 2.98, 2 Ce 3.00, 3 Ac 3.14-3.15

Summary:
**Formation energy without anion corrections**: -2059 kJ/mol of formula units



5.
AcCePuSi2 after structural relaxation, computed with GGA-PBE.

Cell: 4.4114 4.4114 13.2214 Å, 90.00 90.00 90.00°
With the nearest neighbours (Å) after each atom.
Space group I-4m2 (No. 119)
Unique sites:
Ac: 0.0000 0.0000 0.0000 (multiplicity 2)  8 Si 3.35
Ce: 0.0000 0.5000 0.2500 (multiplicity 2)  4 Si 3.03, 4 Pu 3.12
Pu: 0.0000 0.5000 0.7500 (multiplicity 2)  4 Si 3.03, 4 Ce 3.12
Si: 0.0000 0.0000 0.4075 (multiplicity 4)  1 Si 2.45

Summary:
**Formation energy without anion corrections**: -224 kJ/mol of formula units



6.
AcCeSmPu after structural relaxation, computed with GGA-PBE.

Cell: 8.1483 8.1483 8.1483 Å, 90.00 90.00 90.00°
With the nearest neighbours (Å) after each atom.
Space group F-43m (No. 216)
Unique sites:
Ac: 0.0000 0.0000 0.0000 (multiplicity 4)  4 Sm 3.53, 4 Ce 3.53
Ce: 0.2500 0.2500 0.7500 (multiplicity 4)  4 Ac 3.53, 4 Pu 3.53
Sm: 0.2500 0.2500 0.2500 (multiplicity 4)  4 Pu 3.53, 4 Ac 3.53
Pu: 0.0000 0.0000 0.5000 (multiplicity 4)  4 Ce 3.53, 4 Sm 3.53

Summary:
**E_form**: 279 meV/atom



7.
AcCePuTl after structural relaxation, computed with GGA-PBE.

Cell: 7.9170 7.9170 7.9170 Å, 90.00 90.00 90.00°
With the nearest neighbours (Å) after each atom.
Space group F-43m (No. 216)
Unique sites:
Ac: 0.0000 0.0000 0.0000 (multiplicity 4)  4 Tl 3.43, 4 Ce 3.43
Ce: 0.2500 0.2500 0.2500 (multiplicity 4)  4 Ac 3.43, 4 Pu 3.43
Pu: 0.0000 0.0000 0.5000 (multiplicity 4)  4 Ce 3.43, 4 Tl 3.43
Tl: 0.2500 0.2500 0.7500 (multiplicity 4)  4 Ac 3.43, 4 Pu 3.43

Summary:
**E_form**: 107 meV/atom



8.
RbAc2Ce after structural relaxation, computed with GGA-PBE.

Cell: 3.8926 3.8926 42.3441 Å, 90.00 90.00 120.00°
With the nearest neighbours (Å) after each atom.
Space group R-3m (No. 166, hexagonal axes)
Unique sites:
Rb: 0.0000 0.0000 0.0000 (multiplicity 3)  6 Rb 3.89, 2 Ac 4.09
Ac: 0.0000 0.0000 0.0967 (multiplicity 6)  3 Ce 3.72, 6 Ac 3.89, 1 Rb 4.09
Ce: 0.0000 0.0000 0.5000 (multiplicity 3)  6 Ac 3.72, 6 Ce 3.89

Summary:
**E_form**: 268 meV/atom



9.
Rb3AcCe2S6 after structural relaxation, computed with GGA-PBE.

Cell: 7.4914 12.9776 8.0917 Å, 90.00 107.98 90.00°
With the nearest neighbours (Å) after each atom.
Space group C2/m (No. 12)
Unique sites:
Rb: 0.0000 0.0000 0.0000 (multiplicity 2)  6 S 3.35-3.44
Rb: 0.0000 0.3339 0.0000 (multiplicity 4)  6 S 3.36-3.44
Ac: 0.0000 0.5000 0.5000 (multiplicity 2)  6 S 3.00
Ce: 0.0000 0.1667 0.5000 (multiplicity 4)  6 S 2.89
S: 0.2219 0.0000 0.6982 (multiplicity 4)  2 Ce 2.89, 1 Ac 3.00
S: 0.2382 0.3279 0.6980 (multiplicity 8)  2 Ce 2.89, 1 Ac 3.00

Summary:
**Formation energy without anion corrections**: -2080 kJ/mol of formula units



10.
Rb2AcCeSe4 after structural relaxation, computed with GGA-PBE.

Cell: 7.8294 4.5223 8.4243 Å, 90.00 108.03 90.00°
With the nearest neighbours (Å) after each atom.
Space group P2/m (No. 10)
Unique sites:
Rb: 0.0000 0.0000 0.0000 (multiplicity 1)  6 Se 3.57
Rb: 0.5000 0.5000 0.0000 (multiplicity 1)  6 Se 3.49
Ac: 0.0000 0.5000 0.5000 (multiplicity 1)  6 Se 3.12
Ce: 0.5000 0.0000 0.5000 (multiplicity 1)  6 Se 3.03-3.04
Se: 0.2445 0.0000 0.7058 (multiplicity 2)  1 Ce 3.03, 2 Ac 3.12
Se: 0.2755 0.5000 0.2994 (multiplicity 2)  2 Ce 3.04, 1 Ac 3.12

Summary:
**Formation energy without anion corrections**: -1337 kJ/mol of formula units



11.
Rb3Ac2CeSe6 after structural relaxation, computed with GGA-PBE.

Cell: 7.8862 13.6581 8.4416 Å, 90.00 108.17 90.00°
With the nearest neighbours (Å) after each atom.
Space group C2/m (No. 12)
Unique sites:
Rb: 0.0000 0.0000 0.0000 (multiplicity 2)  6 Se 3.51-3.60
Rb: 0.0000 0.3327 0.0000 (multiplicity 4)  6 Se 3.51-3.59
Ac: 0.0000 0.1666 0.5000 (multiplicity 4)  6 Se 3.13
Ce: 0.0000 0.5000 0.5000 (multiplicity 2)  6 Se 3.03
Se: 0.2299 0.3383 0.7045 (multiplicity 8)  1 Ce 3.03, 2 Ac 3.13
Se: 0.2449 0.0000 0.7043 (multiplicity 4)  1 Ce 3.03, 2 Ac 3.13

Summary:
**Formation energy without anion corrections**: -2034 kJ/mol of formula units



12.
Rb3AcCe2Se6 after structural relaxation, computed with GGA-PBE.

Cell: 7.7692 13.4554 8.4102 Å, 90.00 107.96 90.00°
With the nearest neighbours (Å) after each atom.
Space group C2/m (No. 12)
Unique sites:
Rb: 0.0000 0.0000 0.0000 (multiplicity 2)  6 Se 3.46-3.55
Rb: 0.0000 0.3345 0.0000 (multiplicity 4)  6 Se 3.47-3.55
Ac: 0.0000 0.5000 0.5000 (multiplicity 2)  6 Se 3.12
Ce: 0.0000 0.1668 0.5000 (multiplicity 4)  6 Se 3.02
Se: 0.2237 0.0000 0.7020 (multiplicity 4)  2 Ce 3.02, 1 Ac 3.12
Se: 0.2392 0.3282 0.7020 (multiplicity 8)  2 Ce 3.02, 1 Ac 3.12

Summary:
**Formation energy without anion corrections**: -1982 kJ/mol of formula units



13.
Rb4Ac3CeSe8 after structural relaxation, computed with GGA-PBE.

Cell: 9.1401 9.1401 24.0838 Å, 90.00 90.00 120.00°
With the nearest neighbours (Å) after each atom.
Space group R-3m (No. 166, hexagonal axes)
Unique sites:
Rb: 0.0000 0.0000 0.0000 (multiplicity 3)  6 Se 3.61
Rb: 0.0000 0.5000 0.0000 (multiplicity 9)  6 Se 3.52-3.53
Ac: 0.0000 0.5000 0.5000 (multiplicity 9)  6 Se 3.13-3.14
Ce: 0.0000 0.0000 0.5000 (multiplicity 3)  6 Se 3.04
Se: 0.0000 0.0000 0.2364 (multiplicity 6)  3 Ac 3.13
Se: 0.0090 0.5045 0.2346 (multiplicity 18)  1 Ce 3.04, 2 Ac 3.14

Summary:
**Formation energy without anion corrections**: -2728 kJ/mol of formula units



14.
RbAc2Ce3Te6 after structural relaxation, computed with GGA-PBE.

Cell: 20.5033 4.5858 9.5167 Å, 90.00 104.81 90.00°
With the nearest neighbours (Å) after each atom.
Space group C2/m (No. 12)
Unique sites:
Rb: 0.0000 0.0000 0.0000 (multiplicity 2)  6 Te 3.44-3.45
Ac: 0.1692 0.5000 0.3385 (multiplicity 4)  6 Te 3.35-3.40
Ce: 0.0000 0.0000 0.5000 (multiplicity 2)  6 Te 3.17-3.22
Ce: 0.1643 0.5000 0.8287 (multiplicity 4)  6 Te 3.21-3.27
Te: 0.0009 0.5000 0.7305 (multiplicity 4)  3 Ce 3.17-3.24, 1 Ac 3.38, 2 Rb 3.44
Te: 0.1623 0.0000 0.5909 (multiplicity 4)  3 Ce 3.21-3.22, 3 Ac 3.35
Te: 0.1736 0.0000 0.0779 (multiplicity 4)  3 Ce 3.21-3.27, 2 Ac 3.40, 1 Rb 3.45

Summary:
**Formation energy without anion corrections**: -1586 kJ/mol of formula units



15.
Rb4Ac3CeTe8 after structural relaxation, computed with GGA-PBE.

Cell: 9.6842 9.6842 25.7189 Å, 90.00 90.00 120.00°
With the nearest neighbours (Å) after each atom.
Space group R-3m (No. 166, hexagonal axes)
Unique sites:
Rb: 0.0000 0.0000 0.0000 (multiplicity 3)  6 Te 3.80
Rb: 0.0000 0.5000 0.0000 (multiplicity 9)  6 Te 3.72
Ac: 0.0000 0.5000 0.5000 (multiplicity 9)  6 Te 3.35
Ce: 0.0000 0.0000 0.5000 (multiplicity 3)  6 Te 3.26
Te: 0.0000 0.0000 0.2381 (multiplicity 6)  3 Ac 3.35, 3 Rb 3.72
Te: 0.0087 0.5044 0.2363 (multiplicity 18)  1 Ce 3.26, 2 Ac 3.35

Summary:
**Formation energy without anion corrections**: -2237 kJ/mol of formula units



16.
AcCeRe after structural relaxation, computed with GGA-PBE.

Cell: 5.9262 6.7983 18.7188 Å, 90.00 90.00 90.00°
With the nearest neighbours (Å) after each atom.
Space group Fmmm (No. 69)
Unique sites:
Ac: 0.2500 0.2500 0.2500 (multiplicity 8)  2 Ac 2.96
Ce: 0.0000 0.0000 0.0848 (multiplicity 8)  2 Re 2.66
Re: 0.0000 0.1863 0.5000 (multiplicity 8)  1 Re 2.53, 2 Ce 2.66

Summary:
**E_form**: 973 meV/atom



17.
AcCe2Re after structural relaxation, computed with GGA-PBE.

Cell: 3.9296 3.9296 31.1260 Å, 90.00 90.00 120.00°
With the nearest neighbours (Å) after each atom.
Space group R-3m (No. 166, hexagonal axes)
Unique sites:
Ac: 0.0000 0.0000 0.0000 (multiplicity 3)  2 Ce 3.63, 6 Ac 3.93
Ce: 0.0000 0.0000 0.1166 (multiplicity 6)  3 Re 2.75
Re: 0.0000 0.0000 0.5000 (multiplicity 3)  6 Ce 2.75

Summary:
**E_form**: 398 meV/atom



18.
AcCeRh after structural relaxation, computed with GGA-PBE.

Cell: 4.2162 4.3963 8.7735 Å, 90.00 95.07 90.00°
With the nearest neighbours (Å) after each atom.
Space group P2_1/m (No. 11)
Unique sites:
Ac: 0.2255 0.2500 0.3496 (multiplicity 2)  5 Rh 3.06-3.39
Ce: 0.2967 0.7500 0.0161 (multiplicity 2)  1 Rh 2.73, 2 Ce 2.82
Rh: 0.2611 0.2500 0.7367 (multiplicity 2)  1 Ce 2.73, 2 Ac 3.06

Summary:
**E_form**: -479 meV/atom
**Offset from the most stable computed form**: 0 meV/atom



19.
Ac2Ce2Rh5 after structural relaxation, computed with GGA-PBE.

Cell: 14.9065 7.5496 7.6264 Å, 90.00 90.00 90.00°
With the nearest neighbours (Å) after each atom.
Space group Cmce (No. 64)
Unique sites:
Ac: 0.2008 0.0000 0.0000 (multiplicity 8)  7 Rh 2.99-3.27
Ce: 0.0000 0.1669 0.3316 (multiplicity 8)  8 Rh 2.73-2.86
Rh: 0.0000 0.0000 0.0000 (multiplicity 4)  4 Ce 2.82-2.83, 2 Ac 2.99
Rh: 0.1138 0.1358 0.6306 (multiplicity 16)  3 Ce 2.73-2.86, 1 Rh 2.86

Summary:
**E_form**: -587 meV/atom



20.
AcCe3Rh2 after structural relaxation, computed with GGA-PBE.

Cell: 17.5762 4.5443 8.4655 Å, 90.00 116.58 90.00°
With the nearest neighbours (Å) after each atom.
Space group C2/m (No. 12)
Unique sites:
Ac: 0.1454 0.0000 0.0475 (multiplicity 4)  5 Rh 3.20-3.37
Ce: 0.0461 0.0000 0.3767 (multiplicity 4)  2 Rh 2.76, 2 Ce 3.06
Ce: 0.1069 0.5000 0.6481 (multiplicity 4)  3 Rh 2.82-3.02, 3 Ce 2.85-3.06
Ce: 0.1921 0.5000 0.4299 (multiplicity 4)  2 Rh 2.74-3.00, 3 Ce 2.85-2.93
Rh: 0.0073 0.5000 0.1707 (multiplicity 4)  4 Ce 2.76-3.02, 1 Rh 2.79
Rh: 0.2128 0.0000 0.7533 (multiplicity 4)  3 Ce 2.74-2.82

Summary:
**E_form**: -402 meV/atom



21.
AcCeRh after structural relaxation, computed with GGA-PBE.

Cell: 7.1403 7.1403 7.1403 Å, 90.00 90.00 90.00°
With the nearest neighbours (Å) after each atom.
Space group F-43m (No. 216)
Unique sites:
Ac: 0.0000 0.0000 0.0000 (multiplicity 4)  4 Rh 3.09
Ce: 0.0000 0.0000 0.5000 (multiplicity 4)  4 Rh 3.09
Rh: 0.2500 0.2500 0.2500 (multiplicity 4)  4 Ac 3.09, 4 Ce 3.09

Summary:
**E_form**: -313 meV/atom
**Offset from the most stable computed form**: 166 meV/atom



22.
AcCeRh after structural relaxation, computed with GGA-PBE.

Cell: 3.6871 3.6871 12.1561 Å, 90.00 90.00 90.00°
With the nearest neighbours (Å) after each atom.
Space group I4mm (No. 107)
Unique sites:
Ac: 0.0000 0.0000 0.0000 (multiplicity 2)  5 Ce 3.40-3.74, 4 Rh 3.40, 4 Ac 3.69
Ce: 0.0000 0.0000 0.2793 (multiplicity 2)  4 Rh 2.88
Rh: 0.0000 0.0000 0.6791 (multiplicity 2)  4 Ce 2.88

Summary:
**E_form**: -364 meV/atom
**Offset from the most stable computed form**: 116 meV/atom



23.
Ac12CeRh7 after structural relaxation, computed with GGA-PBE.

Cell: 15.2959 15.2959 10.4812 Å, 90.00 90.00 120.00°
With the nearest neighbours (Å) after each atom.
Space group R-3 (No. 148, hexagonal axes)
Unique sites:
Ac: 0.0254 0.4396 0.1608 (multiplicity 18)  3 Rh 2.94-2.99
Ac: 0.0471 0.8758 0.8266 (multiplicity 18)  3 Rh 2.95-3.00
Ce: 0.0000 0.0000 0.5000 (multiplicity 3)  6 Rh 2.99
Rh: 0.0000 0.0000 0.0000 (multiplicity 3)  6 Ac 2.97
Rh: 0.0465 0.8669 0.3399 (multiplicity 18)  5 Ac 2.94-3.00, 1 Ce 2.99

Summary:
**E_form**: -551 meV/atom